Entry w
A geometry-optimized YPaZn2 structure, computed with PBE.

Cell lengths 3.224, 3.224, 8.347 Å; angles 90.00, 90.00, 90.00 degrees
Fractional coordinates of all 4 atoms:
1 Y 0.500 0.500 0.500
2 Zn 0.000 0.000 0.747
3 Zn 0.000 0.000 0.253
4 Pa 0.500 0.500 0.000

=====

Entry x
A geometry-optimized YPaZn2 structure, computed with PBE.

Cell lengths 3.333, 3.333, 9.783 Å; angles 80.19, 80.19, 60.00 degrees
Fractional coordinates of all 4 atoms:
1 Y 0.500 0.500 0.500
2 Zn 0.751 0.751 0.746
3 Zn 0.249 0.249 0.254
4 Pa 0.000 0.000 0.000

=====

Which one sits at the top of the stability order? entry w does.

=====

Entry w
A geometry-optimized YPaZn4 structure, computed with PBE.

Cell lengths 5.449, 5.449, 5.449 Å; angles 60.00, 60.00, 60.00 degrees
Fractional coordinates of all 6 atoms:
1 Y 0.000 0.000 0.000
2 Zn 0.625 0.625 0.125
3 Zn 0.625 0.125 0.625
4 Zn 0.625 0.625 0.625
5 Zn 0.125 0.625 0.625
6 Pa 0.250 0.250 0.250

=====

Entry x
A geometry-optimized YPaZn4 structure, computed with PBE.

Cell lengths 3.329, 4.534, 7.841 Å; angles 90.00, 90.00, 90.00 degrees
Fractional coordinates of all 6 atoms:
1 Y 0.999 0.997 0.498
2 Pa 0.999 0.497 0.998
3 Zn 0.499 0.997 0.166
4 Zn 0.499 0.997 0.830
5 Zn 0.499 0.497 0.664
6 Zn 0.499 0.497 0.332

=====

Which one sits at the top of the stability order? entry x does.

=====

Entry w
A geometry-optimized YPaZn structure, computed with PBE.

Cell lengths 3.234, 3.234, 7.249 Å; angles 102.89, 102.89, 90.00 degrees
Fractional coordinates of all 3 atoms:
1 Y 0.015 0.015 0.029
2 Zn 0.666 0.666 0.332
3 Pa 0.319 0.319 0.639

=====

Entry x
A geometry-optimized YPaZn structure, computed with PBE.

Cell lengths 3.294, 5.203, 8.543 Å; angles 90.00, 101.12, 90.00 degrees
Fractional coordinates of all 6 atoms:
1 Zn 0.421 0.250 0.842
2 Zn 0.579 0.750 0.158
3 Y 0.924 0.750 0.847
4 Y 0.076 0.250 0.153
5 Pa 0.765 0.250 0.531
6 Pa 0.235 0.750 0.469

=====

Which one sits at the top of the stability order? entry x does.

=====

Entry w
A geometry-optimized Pa3Zn structure, computed with PBE.

Cell lengths 4.489, 4.489, 5.495 Å; angles 114.11, 114.11, 90.00 degrees
Fractional coordinates of all 4 atoms:
1 Zn 0.000 0.000 0.000
2 Pa 0.750 0.250 0.500
3 Pa 0.250 0.750 0.500
4 Pa 0.500 0.500 0.000

=====

Entry x
A geometry-optimized Pa3Zn structure, computed with PBE.

Cell lengths 5.038, 5.038, 5.038 Å; angles 60.00, 60.00, 60.00 degrees
Fractional coordinates of all 4 atoms:
1 Zn 0.500 0.500 0.500
2 Pa 0.000 0.000 0.000
3 Pa 0.750 0.750 0.750
4 Pa 0.250 0.250 0.250

=====

Entry y
A geometry-optimized Pa3Zn structure, computed with PBE.

Cell lengths 3.140, 5.505, 6.175 Å; angles 116.47, 104.73, 90.00 degrees
Fractional coordinates of all 4 atoms:
1 Zn 0.000 0.022 0.000
2 Pa 0.268 0.589 0.537
3 Pa 0.500 0.504 0.000
4 Pa 0.732 0.052 0.463

=====

Which one sits at the top of the stability order? entry y does.

=====

Entry w
A geometry-optimized Pa3Zn structure, computed with PBE.

Cell lengths 4.507, 4.507, 4.507 Å; angles 90.00, 90.00, 90.00 degrees
Fractional coordinates of all 4 atoms:
1 Zn 0.000 0.000 0.000
2 Pa 0.000 0.500 0.500
3 Pa 0.500 0.000 0.500
4 Pa 0.500 0.500 0.000

=====

Entry x
A geometry-optimized Pa3Zn structure, computed with PBE.

Cell lengths 3.166, 8.498, 8.173 Å; angles 124.38, 90.00, 90.00 degrees
Fractional coordinates of all 8 atoms:
1 Pa 0.750 0.297 0.390
2 Pa 0.750 0.079 0.882
3 Pa 0.750 0.536 0.854
4 Pa 0.250 0.703 0.610
5 Pa 0.250 0.921 0.118
6 Pa 0.250 0.464 0.146
7 Zn 0.250 0.150 0.609
8 Zn 0.750 0.850 0.391

=====

Which one sits at the top of the stability order? entry x does.

=====

Entry w
A geometry-optimized ZrPaZn2 structure, computed with PBE.

Cell lengths 3.068, 3.068, 8.342 Å; angles 90.00, 90.00, 90.00 degrees
Fractional coordinates of all 4 atoms:
1 Zn 0.000 0.000 0.765
2 Zn 0.000 0.000 0.235
3 Pa 0.500 0.500 0.500
4 Zr 0.500 0.500 0.000

=====

Entry x
A geometry-optimized ZrPaZn2 structure, computed with PBE.

Cell lengths 3.002, 5.221, 5.221 Å; angles 90.00, 90.00, 90.00 degrees
Fractional coordinates of all 4 atoms:
1 Zn 0.000 0.000 0.500
2 Zn 0.000 0.500 0.000
3 Pa 0.500 0.500 0.500
4 Zr 0.500 0.000 0.000

=====

Entry y
A geometry-optimized ZrPaZn2 structure, computed with PBE.

Cell lengths 3.051, 3.051, 10.236 Å; angles 81.43, 81.43, 60.00 degrees
Fractional coordinates of all 4 atoms:
1 Zn 0.753 0.753 0.741
2 Zn 0.247 0.247 0.259
3 Pa 0.000 0.000 0.000
4 Zr 0.500 0.500 0.500

=====

Which one sits at the top of the stability order? entry w does.

=====

Entry w
A geometry-optimized ZrPaZn structure, computed with PBE.

Cell lengths 3.076, 5.336, 8.330 Å; angles 83.61, 90.05, 106.86 degrees
Fractional coordinates of all 6 atoms:
1 Zr 0.899 0.890 0.606
2 Zr 0.024 0.134 0.172
3 Pa 0.316 0.720 0.967
4 Pa 0.607 0.304 0.811
5 Zn 0.304 0.698 0.333
6 Zn 0.619 0.326 0.445

=====

Entry x
A geometry-optimized ZrPaZn structure, computed with PBE.

Cell lengths 5.098, 5.430, 5.871 Å; angles 78.24, 64.27, 62.00 degrees
Fractional coordinates of all 6 atoms:
1 Zn 0.750 0.500 0.500
2 Zn 0.250 0.500 0.500
3 Pa 0.834 0.332 0.000
4 Pa 0.166 0.668 0.000
5 Zr 0.646 0.000 0.709
6 Zr 0.354 0.000 0.291

=====

Which one sits at the top of the stability order? entry x does.

=====

Entry w
A geometry-optimized ZrPaZn structure, computed with PBE.

Cell lengths 3.059, 3.059, 7.180 Å; angles 102.30, 102.30, 90.00 degrees
Fractional coordinates of all 3 atoms:
1 Zn 0.672 0.672 0.344
2 Pa 0.005 0.005 0.010
3 Zr 0.323 0.323 0.645

=====

Entry x
A geometry-optimized ZrPaZn structure, computed with PBE.

Cell lengths 3.062, 4.990, 4.990 Å; angles 120.00, 90.00, 90.00 degrees
Fractional coordinates of all 3 atoms:
1 Zn 0.831 0.333 0.667
2 Pa 0.334 0.667 0.333
3 Zr 0.835 0.000 0.000

=====

Which one sits at the top of the stability order? entry w does.

=====

Entry w
A geometry-optimized ZrPaZn4 structure, computed with PBE.

Cell lengths 5.355, 5.355, 5.355 Å; angles 60.00, 60.00, 60.00 degrees
Fractional coordinates of all 6 atoms:
1 Zn 0.626 0.626 0.123
2 Zn 0.626 0.123 0.626
3 Zn 0.626 0.626 0.626
4 Zn 0.123 0.626 0.626
5 Pa 0.250 0.250 0.250
6 Zr 0.000 0.000 0.000

=====

Entry x
A geometry-optimized ZrPaZn4 structure, computed with PBE.

Cell lengths 3.151, 4.490, 7.779 Å; angles 90.00, 90.00, 90.00 degrees
Fractional coordinates of all 6 atoms:
1 Zr 0.500 0.500 0.500
2 Pa 0.500 0.000 0.000
3 Zn 0.000 0.000 0.659
4 Zn 0.000 0.500 0.823
5 Zn 0.000 0.000 0.341
6 Zn 0.000 0.500 0.177

=====

Which one sits at the top of the stability order? entry x does.

=====

Entry w
A geometry-optimized Zr3Pa structure, computed with PBE.

Cell lengths 4.577, 4.577, 4.577 Å; angles 90.00, 90.00, 90.00 degrees
Fractional coordinates of all 4 atoms:
1 Pa 0.000 0.000 0.000
2 Zr 0.000 0.500 0.500
3 Zr 0.500 0.000 0.500
4 Zr 0.500 0.500 0.000

=====

Entry x
A geometry-optimized Zr3Pa structure, computed with PBE.

Cell lengths 3.101, 5.305, 5.752 Å; angles 90.00, 90.00, 90.00 degrees
Fractional coordinates of all 4 atoms:
1 Pa 0.000 0.500 0.297
2 Zr 0.000 0.000 0.039
3 Zr 0.500 0.000 0.532
4 Zr 0.500 0.500 0.799

=====

Which one sits at the top of the stability order? entry x does.

=====

Entry w
A geometry-optimized ZrPa structure, computed with PBE.

Cell lengths 3.233, 3.933, 8.175 Å; angles 90.00, 113.29, 90.00 degrees
Fractional coordinates of all 4 atoms:
1 Pa 0.632 0.750 0.882
2 Pa 0.368 0.250 0.118
3 Zr 0.874 0.250 0.624
4 Zr 0.126 0.750 0.376

=====

Entry x
A geometry-optimized ZrPa structure, computed with PBE.

Cell lengths 3.659, 3.659, 3.659 Å; angles 90.00, 90.00, 90.00 degrees
Fractional coordinates of all 2 atoms:
1 Pa 0.000 0.000 0.000
2 Zr 0.500 0.500 0.500

=====

Entry y
A geometry-optimized ZrPa structure, computed with PBE.

Cell lengths 3.239, 5.740, 5.740 Å; angles 111.36, 96.30, 96.30 degrees
Fractional coordinates of all 4 atoms:
1 Zr 0.500 0.270 0.730
2 Zr 0.500 0.730 0.270
3 Pa 0.962 0.209 0.209
4 Pa 0.038 0.791 0.791

=====

Which one sits at the top of the stability order? entry w does.

=====

Entry w
A geometry-optimized Zr4Pa structure, computed with PBE.

Cell lengths 3.144, 3.273, 13.819 Å; angles 73.87, 90.00, 118.71 degrees
Fractional coordinates of all 5 atoms:
1 Zr 0.407 0.814 0.794
2 Zr 0.593 0.186 0.206
3 Zr 0.265 0.529 0.599
4 Zr 0.735 0.471 0.401
5 Pa 0.000 0.000 0.000

=====

Entry x
A geometry-optimized Zr4Pa structure, computed with PBE.

Cell lengths 5.140, 5.140, 5.140 Å; angles 90.00, 90.00, 90.00 degrees
Fractional coordinates of all 5 atoms:
1 Pa 0.500 0.500 0.500
2 Zr 0.000 0.000 0.000
3 Zr 0.500 0.000 0.500
4 Zr 0.000 0.500 0.500
5 Zr 0.500 0.500 0.000

=====

Which one sits at the top of the stability order? entry w does.